1.
An optimized crystal structure of ScTeH, computed with GGA-PBE.

Cell lengths 3.7470, 5.6208, 5.7516 Å; angles 92.90, 108.93, 109.45 degrees
With the nearest neighbours (Å) after each atom.
Element x y z (fractional)
Sc  0.0699  0.2709  0.3686  3 H 2.01-2.06
Sc  0.9301  0.7291  0.6314  3 H 2.01-2.06
Te  0.2614  0.8214  0.2008  4 H 2.99-3.17, 6 Sc 3.04-3.21
Te  0.7386  0.1786  0.7992  4 H 2.99-3.17, 6 Sc 3.04-3.21
H  0.3618  0.5720  0.6522  3 Sc 2.01-2.06
H  0.6382  0.4280  0.3478  3 Sc 2.01-2.06

Calculated values
Its total energy is -5.17 eV/atom. The value obtained for the magnetic moment is 0.00 Bohr magnetons per cell.



2.
An optimized crystal structure of LiSnBr4, computed with GGA-PBE.

Cell lengths 6.8487, 4.0519, 6.9636 Å; angles 90.00, 92.05, 90.00 degrees
With the nearest neighbours (Å) after each atom.
Element x y z (fractional)
Li  0.0000  0.0000  0.0000  6 Br 2.74-2.78
Sn  0.5000  0.5000  0.0000  6 Br 2.75-2.87
Br  0.1576  0.5000  0.7813  1 Sn 2.75, 2 Li 2.78
Br  0.3314  0.0000  0.2334  1 Li 2.74, 2 Sn 2.87
Br  0.6686  0.0000  0.7666  1 Li 2.74, 2 Sn 2.87
Br  0.8424  0.5000  0.2187  1 Sn 2.75, 2 Li 2.78

Calculated values
For the uncorrected formation energy, the calculation gives -0.912 eV per atom. The value obtained for the density of states at the Fermi level is 0.62 states/eV/atom. The value obtained for the magnetic moment is 0.00 Bohr magnetons per cell. The calculation puts the excess energy over the best structure of this formula in the dataset at 0.000 eV per atom.



3.
An optimized crystal structure of Dy6Hg2TeSe3, computed with GGA-PBE.

Cell lengths 9.6777, 9.6777, 8.7035 Å; angles 109.53, 109.53, 24.16 degrees
With the nearest neighbours (Å) after each atom.
Element x y z (fractional)
Dy  0.0071  0.0071  0.2723  3 Se 2.87-2.98, 2 Te 3.09, 1 Hg 3.15
Dy  0.3255  0.3255  0.8890  3 Se 2.91-3.06, 2 Hg 3.09, 1 Te 3.11
Dy  0.3436  0.3436  0.3740  3 Se 2.78-2.87, 3 Hg 3.05-3.09
Dy  0.6564  0.6564  0.6260  3 Se 2.78-2.87, 3 Hg 3.05-3.09
Dy  0.6745  0.6745  0.1110  3 Se 2.91-3.06, 2 Hg 3.09, 1 Te 3.11
Dy  0.9929  0.9929  0.7277  3 Se 2.87-2.98, 2 Te 3.09, 1 Hg 3.15
Hg  0.1842  0.1842  0.3853  6 Dy 3.05-3.15, 2 Hg 3.30
Hg  0.8158  0.8158  0.6147  6 Dy 3.05-3.15, 2 Hg 3.30
Te  0.5000  0.5000  0.0000  6 Dy 3.09-3.11
Se  0.1603  0.1603  0.8629  6 Dy 2.87-3.06
Se  0.5000  0.5000  0.5000  6 Dy 2.78-2.87
Se  0.8397  0.8397  0.1371  6 Dy 2.87-3.06

Calculated values
For the uncorrected formation energy, the calculation gives -1.250 eV per atom. The value obtained for the density of states at the Fermi level is 0.48 states/eV/atom. The value obtained for the magnetic moment is 0.00 Bohr magnetons per cell.



4.
An optimized crystal structure of TaPAu2, computed with GGA-PBE.

Cell lengths 5.2456, 9.4439, 2.8838 Å; angles 90.00, 103.07, 90.00 degrees
With the nearest neighbours (Å) after each atom.
Element x y z (fractional)
Ta  0.0000  0.0000  0.0000  2 P 2.62, 2 Ta 2.88, 4 Au 2.92
Ta  0.5000  0.5000  0.0000  2 P 2.62, 2 Ta 2.88, 4 Au 2.92
P  0.0000  0.5000  0.0000  2 Ta 2.62, 2 P 2.88, 4 Au 2.92
P  0.5000  0.0000  0.0000  2 Ta 2.62, 2 P 2.88, 4 Au 2.92
Au  0.2500  0.2500  0.5000  4 Au 2.62-2.88, 2 Ta 2.92, 2 P 2.92
Au  0.2500  0.7500  0.5000  4 Au 2.62-2.88, 2 Ta 2.92, 2 P 2.92
Au  0.7500  0.2500  0.5000  4 Au 2.62-2.88, 2 Ta 2.92, 2 P 2.92
Au  0.7500  0.7500  0.5000  4 Au 2.62-2.88, 2 Ta 2.92, 2 P 2.92

Calculated values
The value obtained for the formation enthalpy at 0 K is 15.5 kJ/mol of atoms. The value obtained for the density of states at the Fermi level is 0.33 states/eV/atom. The value obtained for the magnetic moment is 0.00 Bohr magnetons per cell.



5.
An optimized crystal structure of Mg7CdGa5, computed with GGA-PBE.

Cell lengths 7.5357, 7.5357, 7.5357 Å; angles 136.96, 97.99, 97.48 degrees
With the nearest neighbours (Å) after each atom.
Element x y z (fractional)
Mg  0.0000  0.0000  0.0000  6 Ga 2.88-2.95, 1 Mg 3.04
Mg  0.0155  0.6754  0.3401  5 Ga 2.95-3.01, 4 Mg 3.09-3.21
Mg  0.3062  0.3062  0.0000  3 Mg 3.04-3.08, 4 Ga 3.06, 1 Cd 3.24
Mg  0.3352  0.6754  0.6599  5 Ga 2.95-3.01, 4 Mg 3.09-3.21
Mg  0.4427  0.9427  0.5000  4 Ga 2.80, 6 Mg 2.98-3.09
Mg  0.5098  0.1863  0.3235  5 Ga 2.90-2.98, 3 Mg 2.98-3.21
Mg  0.8629  0.1863  0.6765  5 Ga 2.90-2.98, 3 Mg 2.98-3.21
Cd  0.6323  0.6323  0.0000  9 Mg 3.24-3.39, 4 Ga 3.45
Ga  0.1841  0.1807  0.5037  3 Ga 2.76-2.87, 7 Mg 2.80-3.06
Ga  0.1841  0.6804  0.0034  3 Ga 2.76-2.87, 7 Mg 2.80-3.06
Ga  0.6770  0.1807  0.9966  3 Ga 2.76-2.87, 7 Mg 2.80-3.06
Ga  0.6770  0.6804  0.4963  3 Ga 2.76-2.87, 7 Mg 2.80-3.06
Ga  0.9189  0.4189  0.5000  4 Ga 2.87, 6 Mg 2.88-3.00

Calculated values
The value obtained for the formation enthalpy at 0 K is -6.7 kJ/mol of atoms. The value obtained for the density of states at the Fermi level is 0.32 states/eV/atom. The value obtained for the magnetic moment is 0.00 Bohr magnetons per cell.



6.
An optimized crystal structure of MgTa2Se, computed with GGA-PBE.

Cell lengths 3.0582, 4.2440, 5.6409 Å; angles 90.00, 90.00, 90.00 degrees
With the nearest neighbours (Å) after each atom.
Element x y z (fractional)
Mg  0.0000  0.0000  0.0000  2 Se 2.82, 8 Ta 2.98, 2 Mg 3.06
Ta  0.5000  0.5000  0.2523  4 Ta 2.79-3.06, 4 Se 2.97, 4 Mg 2.98
Ta  0.5000  0.5000  0.7477  4 Ta 2.79-3.06, 4 Se 2.97, 4 Mg 2.98
Se  0.0000  0.0000  0.5000  2 Mg 2.82, 8 Ta 2.97, 2 Se 3.06

Calculated values
For the uncorrected formation energy, the calculation gives 0.339 eV per atom. The value obtained for the density of states at the Fermi level is 0.82 states/eV/atom. The value obtained for the magnetic moment is 0.00 Bohr magnetons per cell. The calculation puts the excess energy over the best structure of this formula in the dataset at 0.353 eV per atom.



7.
An optimized crystal structure of KSb2Pd, computed with GGA-PBE.

Cell lengths 4.1468, 7.9913, 7.2112 Å; angles 90.00, 90.00, 90.00 degrees
With the nearest neighbours (Å) after each atom.
Element x y z (fractional)
K  0.2500  0.2500  0.1079  6 Sb 3.55-3.64, 2 Pd 3.87
K  0.7500  0.7500  0.8921  6 Sb 3.55-3.64, 2 Pd 3.87
Sb  0.2500  0.0431  0.6580  3 Pd 2.74-2.82
Sb  0.2500  0.4569  0.6580  3 Pd 2.74-2.82
Sb  0.7500  0.5431  0.3420  3 Pd 2.74-2.82
Sb  0.7500  0.9569  0.3420  3 Pd 2.74-2.82
Pd  0.2500  0.7500  0.4391  6 Sb 2.74-2.82
Pd  0.7500  0.2500  0.5609  6 Sb 2.74-2.82

Calculated values
For the uncorrected formation energy, the calculation gives -0.400 eV per atom. The value obtained for the density of states at the Fermi level is 0.51 states/eV/atom. The value obtained for the magnetic moment is 0.00 Bohr magnetons per cell. The calculation puts the excess energy over the best structure of this formula in the dataset at 0.011 eV per atom.



8.
An optimized crystal structure of ReRu2Au, computed with GGA-PBE.

Cell lengths 2.7690, 2.7690, 27.5915 Å; angles 90.00, 90.00, 120.00 degrees
With the nearest neighbours (Å) after each atom.
Element x y z (fractional)
Re  0.0000  0.0000  0.0000  6 Ru 2.66, 6 Re 2.77
Re  0.3333  0.6667  0.6667  6 Ru 2.66, 6 Re 2.77
Re  0.6667  0.3333  0.3333  6 Ru 2.66, 6 Re 2.77
Ru  0.0000  0.0000  0.2564  3 Re 2.66, 6 Ru 2.77, 3 Au 2.95
Ru  0.0000  0.0000  0.7436  3 Re 2.66, 6 Ru 2.77, 3 Au 2.95
Ru  0.3333  0.6667  0.4103  3 Re 2.66, 6 Ru 2.77, 3 Au 2.95
Ru  0.3333  0.6667  0.9231  3 Re 2.66, 6 Ru 2.77, 3 Au 2.95
Ru  0.6667  0.3333  0.0769  3 Re 2.66, 6 Ru 2.77, 3 Au 2.95
Ru  0.6667  0.3333  0.5897  3 Re 2.66, 6 Ru 2.77, 3 Au 2.95
Au  0.0000  0.0000  0.5000  6 Au 2.77, 6 Ru 2.95
Au  0.3333  0.6667  0.1667  6 Au 2.77, 6 Ru 2.95
Au  0.6667  0.3333  0.8333  6 Au 2.77, 6 Ru 2.95

Calculated values
The value obtained for the formation enthalpy at 0 K is 13.4 kJ/mol of atoms. The value obtained for the density of states at the Fermi level is 0.47 states/eV/atom. The value obtained for the magnetic moment is 0.00 Bohr magnetons per cell. The calculation puts the excess energy over the best structure of this formula in the dataset at 0.000 eV per atom.